Here is a relaxed ScRe2As crystal from the Alexandria database. Energies are from PBE-GGA.

Computed properties:
Energy of formation ... 0.190 eV/atom
Density of states at the Fermi level ... 5.7 states/eV per cell
Space group ... No. 216

Structure (POSCAR):
```
ScRe2As
1.0
-0.9951 -2.5019 -3.6253
-1.5399 -4.2134 0.5180
-4.3046 -0.9653 -0.9648
As Re Sc
1 2 1
Direct
0.5000 0.5000 0.5000 As
0.2500 0.2500 0.2500 Re
0.0000 0.0000 0.0000 Re
0.7500 0.7500 0.7500 Sc
```

Here is a relaxed Rb2Cu3P4O14 crystal from the Alexandria database. Energies are from PBE-GGA.

Computed properties:
E_form (uncorrected) ... -1.81 eV/atom
Space group ... No. 14

Structure (POSCAR):
```
Rb2Cu3P4O14
1.0
7.8552 -0.0350 0.0000
-1.9581 7.6010 0.0000
0.0000 0.0000 11.1246
Cu O Rb P
6 28 4 8
Direct
0.0000 0.0000 0.0000 Cu
0.2742 0.2679 0.3954 Cu
0.2742 0.7679 0.1046 Cu
0.7258 0.7321 0.6046 Cu
0.7258 0.2321 0.8954 Cu
0.0000 0.5000 0.5000 Cu
0.7574 0.8786 0.0500 O
0.1407 0.5199 0.1020 O
0.5811 0.4874 0.6186 O
0.3160 0.7903 0.3530 O
0.5555 0.2950 0.0026 O
0.9819 0.1998 0.0980 O
0.2426 0.6214 0.5500 O
0.9052 0.1631 0.7966 O
0.9819 0.6998 0.4020 O
0.4445 0.7050 0.9974 O
0.4445 0.2050 0.5026 O
0.1407 0.0199 0.3980 O
0.4189 0.0126 0.1186 O
0.5555 0.7950 0.4974 O
0.7574 0.3786 0.4500 O
0.0948 0.8369 0.2034 O
0.0948 0.3369 0.2966 O
0.3160 0.2903 0.1470 O
0.0181 0.3002 0.5980 O
0.4189 0.5126 0.3814 O
0.8593 0.4801 0.8980 O
0.6840 0.7097 0.8530 O
0.2426 0.1214 0.9500 O
0.8593 0.9801 0.6020 O
0.5811 0.9874 0.8814 O
0.9052 0.6631 0.7034 O
0.6840 0.2097 0.6470 O
0.0181 0.8002 0.9020 O
0.2465 0.4585 0.8150 Rb
0.7535 0.0415 0.3150 Rb
0.2465 0.9585 0.6850 Rb
0.7535 0.5415 0.1850 Rb
0.6148 0.8317 0.9520 P
0.6148 0.3317 0.5480 P
0.1276 0.8414 0.3402 P
0.3852 0.1683 0.0480 P
0.1276 0.3414 0.1598 P
0.8724 0.6586 0.8402 P
0.8724 0.1586 0.6598 P
0.3852 0.6683 0.4520 P
```

Here is a relaxed P4Rh crystal from the Alexandria database. Energies are from PBE-GGA.

Computed properties:
Energy of formation ... 0.497 eV/atom
Density of states at the Fermi level ... 2.1 states/eV per cell
Space group ... No. 229

Structure (POSCAR):
```
P4Rh
1.0
-2.7904 2.7904 2.7904
2.7904 -2.7904 2.7904
2.7904 2.7904 -2.7904
P Rh
4 1
Direct
0.5000 0.0000 0.0000 P
0.5000 0.5000 0.5000 P
0.0000 0.0000 0.5000 P
0.0000 0.5000 0.0000 P
0.0000 0.0000 0.0000 Rh
```

Here is a relaxed PmPr2DyY crystal from the Alexandria database. Energies are from PBE-GGA.

Computed properties:
Energy of formation ... 0.410 eV/atom
Density of states at the Fermi level ... 14.9 states/eV per cell
Space group ... No. 63

Structure (POSCAR):
```
PmPr2DyY
1.0
7.3311 0.0000 0.0000
0.0000 8.5067 0.0000
0.0000 -4.2534 5.8802
Dy Pr Y Pm
2 4 2 2
Direct
0.7500 0.7379 0.4759 Dy
0.2500 0.2621 0.5241 Dy
0.5000 0.6916 0.0000 Pr
0.5000 0.3084 0.0000 Pr
0.0000 0.6916 0.0000 Pr
0.0000 0.3084 0.0000 Pr
0.2500 0.9852 0.9705 Y
0.7500 0.0148 0.0295 Y
0.7500 0.2792 0.5585 Pm
0.2500 0.7208 0.4415 Pm
```

| no. | calculated density (g cm⁻³) |
| --- | --- |
| 1 | 12.55 |
| 2 | 3.55 |
| 3 | 4.33 |
| 4 | 6.14 |